No. 1
La2Dy2CBr5 | OQMD | PBE | relaxed; ΔE to the lowest computed polymorph = 0.00 kcal/mol of atoms
1.0
9.094 -1.974 0.000
9.094 1.974 0.000
-1.918 0.000 8.411
La Dy C Br
2 2 1 5
Direct
0.002 0.002 0.293
0.998 0.998 0.707
0.364 0.364 0.430
0.636 0.636 0.570
0.500 0.500 0.500
0.170 0.170 0.818
0.176 0.176 0.352
0.500 0.500 0.000
0.824 0.824 0.648
0.830 0.830 0.182

***

No. 2
Tb2Tm2Mg | OQMD | PBE | relaxed; calculated total energy = -3.7634 eV/atom
1.0
9.100 0.000 0.000
0.000 9.100 0.000
0.000 0.000 3.653
Tb Tm Mg
4 4 2
Direct
0.173 0.327 0.000
0.327 0.827 0.000
0.673 0.173 0.000
0.827 0.673 0.000
0.127 0.627 0.500
0.373 0.127 0.500
0.627 0.873 0.500
0.873 0.373 0.500
0.000 0.000 0.500
0.500 0.500 0.500

***

No. 3
NbBiN2O | OQMD | PBE | relaxed; calculated total energy = -7.8142 eV/atom
1.0
8.033 0.000 0.000
0.013 8.037 0.000
0.127 0.032 8.243
Nb Bi N O
8 8 16 8
Direct
0.000 0.000 0.000
0.004 0.520 0.495
0.019 0.007 0.496
0.493 0.014 0.998
0.498 0.010 0.494
0.507 0.499 0.004
0.515 0.499 0.500
0.995 0.518 0.996
0.222 0.766 0.742
0.246 0.752 0.235
0.258 0.264 0.271
0.290 0.255 0.765
0.718 0.750 0.244
0.752 0.767 0.732
0.754 0.259 0.763
0.790 0.265 0.260
0.039 0.078 0.263
0.068 0.480 0.263
0.076 0.768 0.478
0.258 0.066 0.555
0.258 0.977 0.967
0.452 0.269 0.050
0.468 0.573 0.270
0.482 0.967 0.263
0.547 0.471 0.767
0.550 0.069 0.765
0.562 0.265 0.472
0.760 0.481 0.065
0.763 0.570 0.476
0.963 0.973 0.762
0.971 0.772 0.063
0.980 0.577 0.763
0.060 0.279 0.968
0.262 0.465 0.561
0.266 0.586 0.978
0.470 0.770 0.571
0.580 0.775 0.981
0.761 0.088 0.047
0.761 0.953 0.482
0.951 0.271 0.542

***

No. 4
Sm2Ag2O5 | OQMD | PBE | relaxed; ΔE to the lowest computed polymorph = 0.00 kcal/mol of atoms
1.0
4.071 0.000 0.000
0.000 4.071 0.000
0.000 0.000 8.980
Sm Ag O
2 2 5
Direct
0.000 0.000 0.248
0.000 0.000 0.752
0.500 0.500 0.000
0.500 0.500 0.500
0.000 0.000 0.500
0.000 0.500 0.149
0.000 0.500 0.851
0.500 0.000 0.149
0.500 0.000 0.851